[1]
PBE-GGA Sr2AcB2O6, relaxed; energy = -79.94 eV for the cell shown; formation energy (no corrections) = -257.6 kJ/mol of atoms; volume = 16.27 A^3/atom; crystal system = trigonal
1.0
-0.5506 4.3354 -3.1717
0.6198 -4.8928 -2.1989
-7.0306 -0.8915 0.0020
Ac O B Sr
1 6 2 2
direct
0.0000 0.0000 0.0000 Ac
0.7845 0.6274 0.2636 O
0.3726 0.1571 0.2636 O
0.6274 0.8429 0.7364 O
0.2155 0.3726 0.7364 O
0.8429 0.2155 0.2636 O
0.1571 0.7845 0.7364 O
0.3333 0.6667 0.7507 B
0.6667 0.3333 0.2493 B
0.3333 0.6667 0.3386 Sr
0.6667 0.3333 0.6614 Sr

=====

[2]
PBE-GGA Ca2PCl, relaxed; energy = -16.67 eV for the cell shown; formation energy (no corrections) = -130.5 kJ/mol of atoms; volume = 23.86 A^3/atom; crystal system = orthorhombic
1.0
-2.9018 -1.7656 1.1572
0.1504 -2.1000 -2.9059
4.3517 -4.7533 3.6603
Ca Cl P
2 1 1
direct
0.0000 0.0000 0.5438 Ca
0.0000 0.0000 0.9562 Ca
0.5000 0.5000 0.2500 Cl
0.5000 0.5000 0.7500 P

=====

[3]
PBE-GGA InSiAu2, relaxed; energy = -29.40 eV for the cell shown; formation energy (no corrections) = 0.4 kJ/mol of atoms; volume = 22.04 A^3/atom; crystal system = tetragonal
1.0
-2.5357 3.3802 1.9280
-3.7104 -1.4065 -2.4141
-5.1869 -4.0414 5.8586
Au In Si
4 2 2
direct
0.8750 0.8108 0.7500 Au
0.1892 0.6250 0.2500 Au
0.3750 0.4392 0.7500 Au
0.5608 0.1250 0.2500 Au
0.0000 0.0000 0.0000 In
0.7500 0.2500 0.5000 In
0.5000 0.5000 0.0000 Si
0.2500 0.7500 0.5000 Si

=====

[4]
PBE-GGA SmZn11Ga, relaxed; energy = -24.02 eV for the cell shown; volume = 16.13 A^3/atom; crystal system = monoclinic; formation energy from the elements = -0.17 eV per atom
1.0
4.8679 0.0208 2.0281
2.4031 6.3089 1.0012
0.0068 0.0104 6.8399
Zn Sm Ga
11 1 1
direct
0.6522 0.3539 0.3584 Zn
0.3478 0.6461 0.6416 Zn
0.0000 0.5000 0.0000 Zn
0.4966 0.2163 0.7806 Zn
0.7228 0.7837 0.7806 Zn
0.9895 0.6461 0.3584 Zn
0.5034 0.7837 0.2194 Zn
0.0105 0.3539 0.6416 Zn
0.5000 0.0000 0.5000 Zn
0.0000 0.0000 0.5000 Zn
0.2772 0.2163 0.2194 Zn
0.0000 0.0000 0.0000 Sm
0.5000 0.5000 0.0000 Ga

=====

Please write out number 2 again, unchanged.
PBE-GGA Ca2PCl, relaxed; energy = -16.67 eV for the cell shown; formation energy (no corrections) = -130.5 kJ/mol of atoms; volume = 23.86 A^3/atom; crystal system = orthorhombic
1.0
-2.9018 -1.7656 1.1572
0.1504 -2.1000 -2.9059
4.3517 -4.7533 3.6603
Ca Cl P
2 1 1
direct
0.0000 0.0000 0.5438 Ca
0.0000 0.0000 0.9562 Ca
0.5000 0.5000 0.2500 Cl
0.5000 0.5000 0.7500 P

=====

Q: energy of number 2 (Ca2PCl)?
A: -16.67 eV for the cell shown

=====

Q: Number 2 is which compound?
A: Ca2PCl